#one
## CoReIr2 (PBE)

Data for crystalline CoReIr2 at its relaxed geometry.

a b c (Å): 3.752 3.819 3.819
angles (deg): 90.00 90.00 90.00
Atoms (fractional coordinates):
Re 0.500 0.500 0.000
Ir 0.000 0.000 0.000
Co 0.500 0.000 0.500
Ir 0.000 0.500 0.500

Summary:
size of the total moment = 0.00 Bohr magnetons per cell
volume = 54.7 Å³ per cell
space-group type = P4/mmm, No. 123


#two
## CoReIr2 (PBE)

Data for crystalline CoReIr2 at its relaxed geometry.

a b c (Å): 2.717 3.784 5.362
angles (deg): 90.00 90.00 90.00
Each line ends with the local moment (μB).
Atoms (fractional coordinates):
Ir 0.000 0.000 0.506  0.10
Co 0.500 0.500 0.750  1.31
Ir 0.000 0.000 0.994  0.10
Re 0.500 0.500 0.250  -0.13

Summary:
size of the total moment = 1.36 Bohr magnetons per cell
volume = 55.1 Å³ per cell
space-group type = Pmmm, No. 47


#three
## CoReIr2 (PBE)

Data for crystalline CoReIr2 at its relaxed geometry.

a b c (Å): 4.275 2.731 4.725
angles (deg): 90.00 90.00 90.00
Each line ends with the local moment (μB).
Atoms (fractional coordinates):
Ir 0.500 0.125 0.292  0.07
Ir 0.000 0.125 0.946  0.09
Co 0.500 0.625 0.793  1.05
Re 0.000 0.625 0.470  -0.04

Summary:
size of the total moment = 1.15 Bohr magnetons per cell
volume = 55.2 Å³ per cell
space-group type = Pmm2, No. 25


Relative to the most stable one, in meV per atom, the structures come out at #one 92; #two 0; #three 9.